Record 1
DFT (PBE) results for Hf3ScCd after structural relaxation.

Cell and atoms, written as POSCAR:
```
Hf3ScCd
1.0
5.1955 0.0000 0.0000
0.0000 5.1955 0.0000
0.0000 0.0000 5.1955
Sc Hf Cd
1 3 1
Direct
0.5000 0.5000 0.5000 Sc
0.0000 0.0000 0.5000 Hf
0.0000 0.5000 0.0000 Hf
0.5000 0.0000 0.0000 Hf
0.0000 0.0000 0.0000 Cd
```

Calculated values
Energy relative to the lowest polymorph listed for this composition in eV/atom: 0.000
Formation energy from the elements in eV/atom: 1.1515

***

Record 2
DFT (PBE) results for HfSc2Cd after structural relaxation.

Cell and atoms, written as POSCAR:
```
HfSc2Cd
1.0
-0.9298 2.9499 0.9822
-1.2603 0.5796 -2.9337
-7.5302 -3.2376 2.5954
Sc Cd Hf
2 1 1
Direct
0.0000 0.0000 0.2482 Sc
0.0000 0.0000 0.7518 Sc
0.5000 0.5000 0.0000 Cd
0.5000 0.5000 0.5000 Hf
```

Calculated values
Formation energy from the elements in eV/atom: -0.1535

***

Record 3
DFT (PBE) results for Hf3ScCd after structural relaxation.

Cell and atoms, written as POSCAR:
```
Hf3ScCd
1.0
5.0243 0.0000 0.0000
0.0000 5.0243 0.0000
0.0000 0.0000 5.0243
Sc Cd Hf
1 1 3
Direct
0.0000 0.0000 0.0000 Sc
0.5000 0.5000 0.5000 Cd
0.0000 0.0000 0.5000 Hf
0.0000 0.5000 0.0000 Hf
0.5000 0.0000 0.0000 Hf
```

Calculated values
Energy relative to the lowest polymorph listed for this composition in eV/atom: 0.063
Formation energy from the elements in eV/atom: 1.2141

***

Record 4
DFT (PBE) results for Hf2Sc3Cd3 after structural relaxation.

Cell and atoms, written as POSCAR:
```
Hf2Sc3Cd3
1.0
-0.5292 0.9959 -3.1631
-4.9518 0.3209 0.9295
3.9438 9.3577 4.0689
Cd Hf Sc
3 2 3
Direct
0.8845 0.8845 0.7691 Cd
0.0000 0.5000 0.0000 Cd
0.1155 0.1155 0.2309 Cd
0.2641 0.7641 0.5282 Hf
0.7359 0.2359 0.4718 Hf
0.5000 0.0000 0.0000 Sc
0.6337 0.6337 0.2675 Sc
0.3663 0.3663 0.7325 Sc
```

Calculated values
Formation energy from the elements in eV/atom: -0.1628

***

Record 5
DFT (PBE) results for HfSc2CdSn after structural relaxation.

Cell and atoms, written as POSCAR:
```
HfSc2CdSn
1.0
5.1589 0.0000 0.0000
0.0000 5.2354 0.0000
0.0000 0.0000 5.1589
Sc Hf Sn Cd
2 1 1 1
Direct
0.5000 0.0000 0.0000 Sc
0.0000 0.0000 0.5000 Sc
0.0000 0.5000 0.0000 Hf
0.5000 0.5000 0.5000 Sn
0.0000 0.0000 0.0000 Cd
```

Calculated values
Formation energy from the elements in eV/atom: 0.4781

***

Record 6
DFT (PBE) results for HfSc2CdTe after structural relaxation.

Cell and atoms, written as POSCAR:
```
HfSc2CdTe
1.0
-0.4728 5.2029 -0.1679
-3.6606 -0.2013 4.0708
3.8600 0.4635 3.4940
Te Cd Sc Hf
1 1 2 1
Direct
0.0000 0.5000 0.0000 Te
0.0000 0.0000 0.0000 Cd
0.5000 0.0000 0.0000 Sc
0.0000 0.0000 0.5000 Sc
0.5000 0.5000 0.5000 Hf
```

Calculated values
Formation energy from raw total energies in meV per atom: 896.5